Pm4Hg2P | PBE-GGA | relaxed

VASP energy: -4.12 eV per atom
DFT formation energy: -550 meV/atom
Size of the total moment: 0.0 μB/cell

Unit cell a=5.4282 b=5.4282 c=15.0752 alpha=90.00 beta=90.00 gamma=90.00
Last column: nearest neighbours and their distance in Å.
Space group I4/mmm (No. 139)
Asymmetric unit:
1 Pm 0.0000 0.0000 0.1852  1 P 2.79, 1 Hg 3.00
2 Pm 0.0000 0.5000 0.0000  2 P 2.71
3 Hg 0.0000 0.0000 0.3844  5 Pm 3.00-3.23
4 P 0.0000 0.0000 0.0000  6 Pm 2.71-2.79